Computed, not measured: crystalline Li4InAg4 at its relaxed geometry at the PBE level of DFT. Values from VASP.

The structure in Quantum ESPRESSO input format:
```
&SYSTEM
  ibrav = 0, nat = 18, ntyp = 3
/
ATOMIC_SPECIES
Li 6.94 Li.upf
Ag 107.87 Ag.upf
In 114.82 In.upf
ATOMIC_POSITIONS crystal
Li 0.000 0.736 0.278
Li 0.500 0.764 0.222
Li 0.764 0.500 0.778
Li 0.500 0.236 0.222
Li 0.736 0.000 0.722
Li 0.236 0.500 0.778
Li 0.264 0.000 0.722
Li 0.000 0.264 0.278
Ag 0.500 0.776 0.924
Ag 0.000 0.276 0.576
Ag 0.224 0.500 0.076
Ag 0.724 0.000 0.424
Ag 0.000 0.724 0.576
Ag 0.500 0.224 0.924
Ag 0.776 0.500 0.076
Ag 0.276 0.000 0.424
In 0.000 0.000 0.000
In 0.500 0.500 0.500
CELL_PARAMETERS angstrom
-1.012 5.536 2.075
-5.561 -1.606 1.572
3.240 -2.679 8.728
```

## Properties
Formation energy from the elements ... -0.072 eV per atom
SG ... No. 137
Excess energy over the best structure of this formula in the dataset ... 1.22 eV per formula unit
ρ ... 5471 kg/m³
DOS(E_F) ... 0.30 states/eV per atom